(1)
Material: Mn2FeTc
Method: DFT, PBE
State: optimized geometry Values from VASP.

Output
Final energy: -9.235 eV/atom
V: 49 Å³/cell
Crystal system: tetragonal
ΔE_f: 57 meV/atom
Space-group type: I4/mmm

Structure (Quantum ESPRESSO input):
```
&SYSTEM
  ibrav = 0, nat = 4, ntyp = 3
/
ATOMIC_SPECIES
Mn 54.94 Mn.upf
Fe 55.84 Fe.upf
Tc 98.00 Tc.upf
CELL_PARAMETERS angstrom
-1.840 1.840 3.586
1.840 -1.840 3.586
1.840 1.840 -3.586
ATOMIC_POSITIONS crystal
Mn 0.250 0.750 0.500
Mn 0.750 0.250 0.500
Fe 0.000 0.000 0.000
Tc 0.500 0.500 0.000
```



(2)
Material: BaLaIr3
Method: DFT, PBE
State: optimized geometry Values from VASP.

Output
Final energy: -5.704 eV/atom
V: 134 Å³/cell
Crystal system: cubic
ΔE_f: 983 meV/atom
Space-group type: Pm-3m
Polymorph energy (0 for the lowest one): 0.000 eV per atom

Structure (Quantum ESPRESSO input):
```
&SYSTEM
  ibrav = 0, nat = 5, ntyp = 3
/
ATOMIC_SPECIES
Ba 137.33 Ba.upf
La 138.91 La.upf
Ir 192.22 Ir.upf
CELL_PARAMETERS angstrom
5.111 0.000 0.000
0.000 5.111 0.000
0.000 0.000 5.111
ATOMIC_POSITIONS crystal
Ba 0.000 0.000 0.000
La 0.500 0.500 0.500
Ir 0.000 0.500 0.500
Ir 0.500 0.000 0.500
Ir 0.500 0.500 0.000
```



(3)
Material: Ag2HgCl
Method: DFT, PBE
State: optimized geometry Values from VASP.

Output
Final energy: -2.023 eV/atom
V: 85 Å³/cell
Crystal system: orthorhombic
Space-group type: Cmmm
Polymorph energy (0 for the lowest one): 0.088 eV per atom
Formation energy without anion corrections: -0.06 eV per atom

Structure (Quantum ESPRESSO input):
```
&SYSTEM
  ibrav = 0, nat = 4, ntyp = 3
/
ATOMIC_SPECIES
Ag 107.87 Ag.upf
Hg 200.59 Hg.upf
Cl 35.45 Cl.upf
CELL_PARAMETERS angstrom
1.736 -2.842 0.000
1.736 2.842 0.000
0.000 0.000 8.662
ATOMIC_POSITIONS crystal
Ag 0.000 0.000 0.237
Ag 0.000 0.000 0.763
Hg 0.500 0.500 0.500
Cl 0.500 0.500 0.000
```



(4)
Material: ZnCdO2
Method: DFT, PBE
State: optimized geometry Values from VASP.

Output
Final energy: -3.985 eV/atom
V: 106 Å³/cell
Crystal system: orthorhombic
Space-group type: Cmcm
Formation energy without anion corrections: -0.96 eV per atom

Structure (Quantum ESPRESSO input):
```
&SYSTEM
  ibrav = 0, nat = 8, ntyp = 3
/
ATOMIC_SPECIES
Zn 65.41 Zn.upf
Cd 112.41 Cd.upf
O 16.00 O.upf
CELL_PARAMETERS angstrom
1.637 -8.317 0.000
1.637 8.317 0.000
0.000 0.000 3.900
ATOMIC_POSITIONS crystal
Zn 0.064 0.936 0.750
Zn 0.936 0.064 0.250
Cd 0.322 0.678 0.750
Cd 0.678 0.322 0.250
O 0.061 0.939 0.250
O 0.186 0.814 0.750
O 0.814 0.186 0.250
O 0.939 0.061 0.750
```



(5)
Material: La2Sm5Er4
Method: DFT, PBE
State: optimized geometry Values from VASP.

Output
Final energy: -4.634 eV/atom
V: 369 Å³/cell
Crystal system: monoclinic
ΔE_f: 66 meV/atom
Space-group type: C2/m
Polymorph energy (0 for the lowest one): 0.000 eV per atom

Structure (Quantum ESPRESSO input):
```
&SYSTEM
  ibrav = 0, nat = 11, ntyp = 3
/
ATOMIC_SPECIES
La 138.91 La.upf
Sm 150.36 Sm.upf
Er 167.26 Er.upf
CELL_PARAMETERS angstrom
8.884 -1.775 0.000
8.884 1.775 0.000
-0.836 0.000 11.685
ATOMIC_POSITIONS crystal
La 0.218 0.218 0.354
La 0.782 0.782 0.646
Sm 0.000 0.000 0.000
Sm 0.324 0.324 0.933
Sm 0.406 0.406 0.463
Sm 0.594 0.594 0.537
Sm 0.676 0.676 0.067
Er 0.139 0.139 0.799
Er 0.469 0.469 0.744
Er 0.531 0.531 0.256
Er 0.861 0.861 0.201
```



(6)
Material: DyPaAlZn
Method: DFT, PBE
State: optimized geometry Values from VASP.

Output
Final energy: -4.870 eV/atom
V: 91 Å³/cell
Crystal system: cubic
ΔE_f: -92 meV/atom
Space-group type: F-43m

Structure (Quantum ESPRESSO input):
```
&SYSTEM
  ibrav = 0, nat = 4, ntyp = 4
/
ATOMIC_SPECIES
Dy 162.50 Dy.upf
Pa 231.04 Pa.upf
Al 26.98 Al.upf
Zn 65.41 Zn.upf
CELL_PARAMETERS angstrom
0.000 3.571 3.571
3.571 0.000 3.571
3.571 3.571 0.000
ATOMIC_POSITIONS crystal
Dy 0.000 0.000 0.000
Pa 0.500 0.500 0.500
Al 0.750 0.750 0.750
Zn 0.250 0.250 0.250
```



(7)
Material: CaAl4Ir
Method: DFT, PBE
State: optimized geometry Values from VASP.

Output
Final energy: -4.652 eV/atom
V: 250 Å³/cell
Crystal system: orthorhombic
ΔE_f: -347 meV/atom
Space-group type: Fmmm

Structure (Quantum ESPRESSO input):
```
&SYSTEM
  ibrav = 0, nat = 12, ntyp = 3
/
ATOMIC_SPECIES
Ca 40.08 Ca.upf
Al 26.98 Al.upf
Ir 192.22 Ir.upf
CELL_PARAMETERS angstrom
0.000 4.668 5.911
4.530 0.000 5.911
4.530 4.668 0.000
ATOMIC_POSITIONS crystal
Ca 0.000 0.000 0.500
Ca 0.500 0.500 0.000
Al 0.038 0.322 0.678
Al 0.180 0.496 0.820
Al 0.322 0.038 0.962
Al 0.496 0.180 0.504
Al 0.504 0.820 0.496
Al 0.678 0.962 0.038
Al 0.820 0.504 0.180
Al 0.962 0.678 0.322
Ir 0.250 0.250 0.250
Ir 0.750 0.750 0.750
```



(8)
Material: Ti4GeMo2
Method: DFT, PBE
State: optimized geometry Values from VASP.

Output
Final energy: -7.563 eV/atom
V: 136 Å³/cell
Crystal system: tetragonal
ΔE_f: 703 meV/atom
Space-group type: I4/mmm

Structure (Quantum ESPRESSO input):
```
&SYSTEM
  ibrav = 0, nat = 7, ntyp = 3
/
ATOMIC_SPECIES
Ti 47.87 Ti.upf
Ge 72.64 Ge.upf
Mo 95.94 Mo.upf
CELL_PARAMETERS angstrom
-2.334 2.334 6.244
2.334 -2.334 6.244
2.334 2.334 -6.244
ATOMIC_POSITIONS crystal
Ti 0.000 0.500 0.500
Ti 0.199 0.199 0.000
Ti 0.500 0.000 0.500
Ti 0.801 0.801 0.000
Ge 0.000 0.000 0.000
Mo 0.384 0.384 0.000
Mo 0.616 0.616 0.000
```